Entry 1:
# Ba3CrIr | Alexandria | PBE | relaxed
# Density of states at the Fermi level = 5.50 states/eV per cell
# Formation energy from the elements = 368.0 meV/atom
data_Ba3CrIr
_chemical_formula_sum 'Ba3 Cr1 Ir1'
_cell_length_a 6.0904
_cell_length_b 6.0904
_cell_length_c 6.0904
_cell_angle_alpha 90.00
_cell_angle_beta 90.00
_cell_angle_gamma 90.00
_space_group_name_H-M_alt 'P m -3 m'
_space_group_IT_number 221
_space_group_name_Hall '-P 4 2 3'
loop_
_atom_site_label
_atom_site_fract_x
_atom_site_fract_y
_atom_site_fract_z
Ba1 0.0000 0.0000 0.5000
Cr1 0.5000 0.5000 0.5000
Ir1 0.0000 0.0000 0.0000

***

Entry 2:
# BaCrIr2 | Alexandria | PBE | relaxed
# Density of states at the Fermi level = 3.46 states/eV per cell
# Formation energy from the elements = 456.4 meV/atom
data_BaCrIr2
_chemical_formula_sum 'Ba1 Cr1 Ir2'
_cell_length_a 3.7614
_cell_length_b 4.0177
_cell_length_c 6.4276
_cell_angle_alpha 90.00
_cell_angle_beta 98.70
_cell_angle_gamma 90.00
_space_group_name_H-M_alt 'P 1 m 1'
_space_group_IT_number 6
loop_
_space_group_symop_operation_xyz
'x,y,z'
'x,-y,z'
loop_
_atom_site_label
_atom_site_fract_x
_atom_site_fract_y
_atom_site_fract_z
Ba1 0.0000 0.0000 0.0000
Cr1 0.8828 0.5000 0.4688
Ir1 0.4133 0.5000 0.7007
Ir2 0.5345 0.0000 0.4588

***

Entry 3:
# BaCr2Ir | Alexandria | PBE | relaxed
# Density of states at the Fermi level = 4.80 states/eV per cell
# Formation energy from the elements = 636.6 meV/atom
data_BaCr2Ir
_chemical_formula_sum 'Ba1 Cr2 Ir1'
_cell_length_a 2.9681
_cell_length_b 4.2244
_cell_length_c 6.7509
_cell_angle_alpha 90.00
_cell_angle_beta 100.31
_cell_angle_gamma 90.00
_space_group_name_H-M_alt 'P 1 2/m 1'
_space_group_IT_number 10
loop_
_space_group_symop_operation_xyz
'x,y,z'
'-x,-y,-z'
'-x,y,-z'
'x,-y,z'
loop_
_atom_site_label
_atom_site_fract_x
_atom_site_fract_y
_atom_site_fract_z
Ba1 0.0000 0.0000 0.0000
Cr1 0.4568 0.5000 0.6329
Ir1 0.0000 0.0000 0.5000

***

Entry 4:
# Ba2CrIr | Alexandria | PBE | relaxed
# Density of states at the Fermi level = 10.62 states/eV per cell
# Formation energy from the elements = 630.1 meV/atom
data_Ba2CrIr
_chemical_formula_sum 'Ba8 Cr4 Ir4'
_cell_length_a 7.5873
_cell_length_b 7.5873
_cell_length_c 7.5873
_cell_angle_alpha 90.00
_cell_angle_beta 90.00
_cell_angle_gamma 90.00
_space_group_name_H-M_alt 'F -4 3 m'
_space_group_IT_number 216
_space_group_name_Hall 'F -4 2 3'
loop_
_atom_site_label
_atom_site_fract_x
_atom_site_fract_y
_atom_site_fract_z
Ba1 0.0000 0.0000 0.0000
Ba2 0.2500 0.2500 0.2500
Cr1 0.2500 0.2500 0.7500
Ir1 0.0000 0.0000 0.5000